Model a:
# Pm2AgTe | Alexandria | PBE-GGA | relaxed
data_Pm2AgTe
_chemical_formula_sum 'Pm8 Ag4 Te4'
_symmetry_space_group_name_H-M 'C m c m'
_symmetry_Int_Tables_number 63
_symmetry_space_group_name_Hall '-C 2c 2'
_cell_length_a 4.222
_cell_length_b 24.089
_cell_length_c 4.628
_cell_angle_alpha 90.00
_cell_angle_beta 90.00
_cell_angle_gamma 90.00
loop_
_atom_site_label
_atom_site_fract_x
_atom_site_fract_y
_atom_site_fract_z
Pm1 0.000 0.063 0.250
Pm2 0.000 0.324 0.250
Ag1 0.000 0.461 0.250
Te1 0.000 0.193 0.250
# * total moment: 0.00 μB/cell

Model b:
# Pm2AgTe | Alexandria | PBE-GGA | relaxed
data_Pm2AgTe
_chemical_formula_sum 'Pm6 Ag3 Te3'
_symmetry_space_group_name_H-M 'R -3 m'
_symmetry_Int_Tables_number 166
_symmetry_space_group_name_Hall '-R 3 2"'
_cell_length_a 4.3155
_cell_length_b 4.3155
_cell_length_c 22.6364
_cell_angle_alpha 90.00
_cell_angle_beta 90.00
_cell_angle_gamma 120.00
loop_
_atom_site_label
_atom_site_fract_x
_atom_site_fract_y
_atom_site_fract_z
Pm1 0.0000 0.0000 0.2478
Ag1 0.0000 0.0000 0.5000
Te1 0.0000 0.0000 0.0000
# * total moment: 0.00 μB/cell

Model c:
# Pm2AgTe | Alexandria | PBE-GGA | relaxed
data_Pm2AgTe
_chemical_formula_sum 'Pm6 Ag3 Te3'
_symmetry_space_group_name_H-M 'R 3 m'
_symmetry_Int_Tables_number 160
_symmetry_space_group_name_Hall 'R 3 -2"'
_cell_length_a 4.3010
_cell_length_b 4.3010
_cell_length_c 23.0605
_cell_angle_alpha 90.00
_cell_angle_beta 90.00
_cell_angle_gamma 120.00
loop_
_atom_site_label
_atom_site_fract_x
_atom_site_fract_y
_atom_site_fract_z
Pm1 0.0000 0.0000 0.0000
Pm2 0.0000 0.0000 0.1779
Ag1 0.0000 0.0000 0.5894
Te1 0.0000 0.0000 0.4214
# * total moment: 0.00 μB/cell

Model d:
# Pm2AgTe | Alexandria | PBE-GGA | relaxed
data_Pm2AgTe
_chemical_formula_sum 'Pm8 Ag4 Te4'
_symmetry_space_group_name_H-M 'F m -3 m'
_symmetry_Int_Tables_number 225
_symmetry_space_group_name_Hall '-F 4 2 3'
_cell_length_a 7.578
_cell_length_b 7.578
_cell_length_c 7.578
_cell_angle_alpha 90.00
_cell_angle_beta 90.00
_cell_angle_gamma 90.00
loop_
_atom_site_label
_atom_site_fract_x
_atom_site_fract_y
_atom_site_fract_z
Pm1 0.250 0.250 0.250
Ag1 0.000 0.000 0.000
Te1 0.000 0.000 0.500
# * total moment: 3.17 μB/cell

Energy comparison, zero being the most stable, in meV/atom: model a 0; model b 61; model c 100; model d 182.

Model a:
# Pm5AgTe4 | Alexandria | PBE-GGA | relaxed
data_Pm5AgTe4
_chemical_formula_sum 'Pm10 Ag2 Te8'
_symmetry_space_group_name_H-M 'I m m m'
_symmetry_Int_Tables_number 71
_symmetry_space_group_name_Hall '-I 2 2'
_cell_length_a 4.361
_cell_length_b 6.317
_cell_length_c 22.521
_cell_angle_alpha 90.00
_cell_angle_beta 90.00
_cell_angle_gamma 90.00
loop_
_atom_site_label
_atom_site_fract_x
_atom_site_fract_y
_atom_site_fract_z
Pm1 0.000 0.000 0.000
Pm2 0.000 0.000 0.200
Pm3 0.000 0.000 0.405
Ag1 0.000 0.500 0.000
Te1 0.000 0.500 0.198
Te2 0.000 0.500 0.400
# * total moment: 0.00 μB/cell

Model b:
# Pm5AgTe4 | Alexandria | PBE-GGA | relaxed
data_Pm5AgTe4
_chemical_formula_sum 'Pm10 Ag2 Te8'
_symmetry_space_group_name_H-M 'I 4/m m m'
_symmetry_Int_Tables_number 139
_symmetry_space_group_name_Hall '-I 4 2'
_cell_length_a 4.441
_cell_length_b 4.441
_cell_length_c 31.505
_cell_angle_alpha 90.00
_cell_angle_beta 90.00
_cell_angle_gamma 90.00
loop_
_atom_site_label
_atom_site_fract_x
_atom_site_fract_y
_atom_site_fract_z
Pm1 0.000 0.000 0.000
Pm2 0.000 0.000 0.197
Pm3 0.000 0.000 0.400
Ag1 0.000 0.000 0.500
Te1 0.000 0.000 0.099
Te2 0.000 0.000 0.300
# * total moment: 0.00 μB/cell

Energy comparison, zero being the most stable, in meV/atom: model a 0; model b 8.

Model a:
# PmThAg4 | Alexandria | PBE-GGA | relaxed
data_PmThAg4
_chemical_formula_sum 'Pm1 Th1 Ag4'
_symmetry_space_group_name_H-M 'P m m m'
_symmetry_Int_Tables_number 47
_symmetry_space_group_name_Hall '-P 2 2'
_cell_length_a 3.422
_cell_length_b 4.855
_cell_length_c 8.439
_cell_angle_alpha 90.00
_cell_angle_beta 90.00
_cell_angle_gamma 90.00
loop_
_atom_site_label
_atom_site_fract_x
_atom_site_fract_y
_atom_site_fract_z
Pm1 0.000 0.000 0.000
Th1 0.000 0.500 0.500
Ag1 0.500 0.000 0.333
Ag2 0.500 0.500 0.166
# * total moment: 0.00 μB/cell

Model b:
# PmThAg4 | Alexandria | PBE-GGA | relaxed
data_PmThAg4
_chemical_formula_sum 'Pm4 Th4 Ag16'
_symmetry_space_group_name_H-M 'F -4 3 m'
_symmetry_Int_Tables_number 216
_symmetry_space_group_name_Hall 'F -4 2 3'
_cell_length_a 8.162
_cell_length_b 8.162
_cell_length_c 8.162
_cell_angle_alpha 90.00
_cell_angle_beta 90.00
_cell_angle_gamma 90.00
loop_
_atom_site_label
_atom_site_fract_x
_atom_site_fract_y
_atom_site_fract_z
Pm1 0.000 0.000 0.000
Th1 0.250 0.250 0.250
Ag1 0.125 0.125 0.625
# * total moment: 0.00 μB/cell

Energy comparison, zero being the most stable, in meV/atom: model a 0; model b 137.